Density functional theory data (GGA-PBE) for a geometry-optimized GaOs2SO structure.

Cell and atoms, written as POSCAR:
```
GaOs2SO
1.0
-0.649 -4.479 0.259
2.577 -0.244 2.240
-2.913 0.620 3.418
O Os S Ga
1 2 1 1
Cartesian
1.288 -0.122 1.120 O
-1.456 0.310 1.709 Os
-0.325 -2.239 0.130 Os
0.000 0.000 0.000 S
-0.493 -2.051 2.958 Ga
```

## Properties
V in Å³ per atom: 14.1
ΔE_f (raw) in eV/atom: 0.872
Symmetry: No. 123

Density functional theory data (GGA-PBE) for a geometry-optimized LiInCo structure.

Cell and atoms, written as POSCAR:
```
LiInCo
1.0
-3.321 -0.029 -2.785
-0.630 -1.138 4.135
-0.556 2.617 0.635
Li Co In
1 1 1
Cartesian
-1.944 1.199 2.306 Li
-0.502 2.365 0.574 Co
-2.615 0.504 -0.260 In
```

## Properties
V in Å³ per atom: 14.9
ΔH_f (0 K) in eV per formula unit: 0.25
Symmetry: No. 156

Density functional theory data (GGA-PBE) for a geometry-optimized YAs2SBr structure.

Cell and atoms, written as POSCAR:
```
YAs2SBr
1.0
5.631 0.000 0.000
0.000 5.631 0.000
0.000 0.000 5.339
Y Br As S
1 1 2 1
Cartesian
0.000 0.000 0.000 Y
0.000 0.000 2.669 Br
2.816 0.000 0.000 As
0.000 2.816 0.000 As
2.816 2.816 2.669 S
```

## Properties
V in Å³ per atom: 33.9
Polymorph energy (0 for the lowest one) in meV per atom: 386
ΔE_f (raw) in eV/atom: 0.359
Symmetry: No. 123

Density functional theory data (GGA-PBE) for a geometry-optimized TeIr3S structure.

Cell and atoms, written as POSCAR:
```
TeIr3S
1.0
-4.816 -0.494 0.574
0.034 -3.834 -3.011
0.757 -2.971 3.791
Ir S Te
3 1 1
Cartesian
-2.408 -0.247 0.287 Ir
0.017 -1.917 -1.506 Ir
0.379 -1.485 1.895 Ir
-2.012 -3.649 0.677 S
0.000 0.000 0.000 Te
```

## Properties
V in Å³ per atom: 23.2
Polymorph energy (0 for the lowest one) in meV per atom: 1141
ΔE_f (raw) in eV/atom: 2.022
Symmetry: No. 221

Density functional theory data (GGA-PBE) for a geometry-optimized PrNdSbBr structure.

Cell and atoms, written as POSCAR:
```
PrNdSbBr
1.0
5.431 0.000 0.000
2.715 4.703 0.000
2.715 1.568 4.434
Br Nd Sb Pr
1 1 1 1
Cartesian
8.146 4.703 3.326 Br
0.000 0.000 0.000 Nd
2.715 1.568 1.109 Sb
5.431 3.135 2.217 Pr
```

## Properties
V in Å³ per atom: 28.3
ΔE_f (raw) in eV/atom: -1.129
Symmetry: No. 216

Density functional theory data (GGA-PBE) for a geometry-optimized Sm2Ho2Cd structure.

Cell and atoms, written as POSCAR:
```
Sm2Ho2Cd
1.0
-3.164 -1.836 -3.509
2.395 -4.464 0.175
-7.588 -0.766 10.904
Ho Sm Cd
4 4 2
Cartesian
-5.230 -2.568 6.059 Ho
-5.531 -5.536 7.884 Ho
-3.127 -4.497 1.511 Ho
-0.046 -2.842 1.528 Ho
-5.535 -5.679 4.301 Sm
-2.821 -1.386 3.269 Sm
-8.389 -4.261 6.133 Sm
-2.747 -1.490 -0.405 Sm
-0.384 -3.150 -1.667 Cd
-2.789 -4.189 4.706 Cd
```

## Properties
V in Å³ per atom: 32.9
ΔH_f (0 K) in eV per formula unit: 0.32
Polymorph energy (0 for the lowest one) in meV per atom: 176
Symmetry: No. 141

Density functional theory data (GGA-PBE) for a geometry-optimized SrAlAg2 structure.

Cell and atoms, written as POSCAR:
```
SrAlAg2
1.0
4.874 0.000 0.000
0.000 4.172 -0.432
0.000 0.528 5.161
Sr Ag Al
1 2 1
Cartesian
2.437 3.543 3.719 Sr
2.437 1.191 1.345 Ag
0.000 1.556 4.887 Ag
0.000 1.288 2.303 Al
```

## Properties
V in Å³ per atom: 26.5
ΔH_f (0 K) in eV per formula unit: -0.51
Symmetry: No. 6

Density functional theory data (GGA-PBE) for a geometry-optimized TcHW2 structure.

Cell and atoms, written as POSCAR:
```
TcHW2
1.0
0.671 -4.209 -0.197
-1.999 -2.608 2.722
-3.087 -2.589 -1.404
W Tc H
2 1 1
Cartesian
-1.104 -2.352 0.280 W
-3.311 -7.055 0.841 W
-2.207 -4.703 0.561 Tc
0.000 0.000 0.000 H
```

## Properties
V in Å³ per atom: 13.7
Polymorph energy (0 for the lowest one) in meV per atom: 716
Symmetry: No. 225

Density functional theory data (GGA-PBE) for a geometry-optimized PdRhO2 structure.

Cell and atoms, written as POSCAR:
```
PdRhO2
1.0
1.025 6.580 7.368
-1.101 -4.286 -8.890
-3.724 0.138 0.395
O Rh Pd
4 2 2
Cartesian
-3.808 -3.745 -7.939 O
-2.116 4.902 4.998 O
0.008 6.176 6.811 O
-1.684 -2.470 -6.126 O
-1.896 -3.556 -7.750 Rh
-1.904 5.987 6.622 Rh
-1.367 -0.851 -3.703 Pd
-2.433 3.282 2.575 Pd
```

## Properties
V in Å³ per atom: 12.7
ΔE_f (raw) in eV/atom: -0.059
Symmetry: No. 63

Density functional theory data (GGA-PBE) for a geometry-optimized MgCoSe2Br structure.

Cell and atoms, written as POSCAR:
```
MgCoSe2Br
1.0
4.708 0.000 0.000
0.000 4.708 0.000
0.000 0.000 5.038
Se Mg Br Co
2 1 1 1
Cartesian
2.354 0.000 0.000 Se
0.000 2.354 0.000 Se
2.354 2.354 2.519 Mg
0.000 0.000 2.519 Br
0.000 0.000 0.000 Co
```

## Properties
V in Å³ per atom: 22.3
Polymorph energy (0 for the lowest one) in meV per atom: 0
ΔE_f (raw) in eV/atom: -0.035
Symmetry: No. 123

Density functional theory data (GGA-PBE) for a geometry-optimized TaCrAu2 structure.

Cell and atoms, written as POSCAR:
```
TaCrAu2
1.0
-2.208 1.021 1.402
-0.404 -2.778 -0.053
4.396 -0.781 7.495
Au Ta Cr
2 1 1
Cartesian
4.360 -0.775 7.433 Au
-0.121 -1.089 2.695 Au
1.904 -1.449 6.148 Ta
2.235 -0.397 3.811 Cr
```

## Properties
V in Å³ per atom: 16.6
ΔH_f (0 K) in eV per formula unit: 0.59
Polymorph energy (0 for the lowest one) in meV per atom: 64
Symmetry: No. 35

Density functional theory data (GGA-PBE) for a geometry-optimized CsPrSiSe4 structure.

Cell and atoms, written as POSCAR:
```
CsPrSiSe4
1.0
-1.505 -4.624 -4.801
6.915 -0.980 -1.223
0.874 -4.697 8.704
Cs Si Se Pr
2 2 8 2
Cartesian
4.898 -8.527 3.700 Cs
1.386 -1.774 -1.020 Cs
5.158 -3.264 0.950 Si
1.126 -7.038 1.730 Si
1.548 -6.828 3.949 Se
7.493 -4.343 4.881 Se
1.217 -5.033 0.638 Se
-1.209 -5.959 -2.201 Se
5.067 -5.269 2.041 Se
4.736 -3.474 -1.269 Se
4.083 -3.859 5.484 Se
2.201 -6.442 -2.804 Se
1.861 -3.877 3.355 Pr
4.423 -6.425 -0.675 Pr
```

## Properties
V in Å³ per atom: 32.6
ΔE_f (raw) in eV/atom: -1.275
Symmetry: No. 11

Density functional theory data (GGA-PBE) for a geometry-optimized Ge2HW structure.

Cell and atoms, written as POSCAR:
```
Ge2HW
1.0
-2.948 0.202 5.137
1.593 -5.595 1.133
1.780 -1.719 4.507
Ge W H
4 2 2
Cartesian
-0.919 -1.022 3.992 Ge
0.978 -3.842 5.839 Ge
-0.002 -5.478 8.760 Ge
0.792 -3.882 2.964 Ge
-0.923 -2.107 6.390 W
0.000 0.000 0.000 W
-0.678 -2.697 3.135 H
1.347 -5.005 4.388 H
```

## Properties
V in Å³ per atom: 13.1
Polymorph energy (0 for the lowest one) in meV per atom: 0
Symmetry: No. 122

Density functional theory data (GGA-PBE) for a geometry-optimized TiNb2InN structure.

Cell and atoms, written as POSCAR:
```
TiNb2InN
1.0
4.437 0.000 0.000
0.000 4.437 0.000
0.000 0.000 4.007
N Nb Ti In
1 2 1 1
Cartesian
0.000 0.000 0.000 N
0.000 2.218 0.000 Nb
2.218 0.000 0.000 Nb
0.000 0.000 2.004 Ti
2.218 2.218 2.004 In
```

## Properties
V in Å³ per atom: 15.8
ΔE_f (raw) in eV/atom: -0.574
Symmetry: No. 123

Density functional theory data (GGA-PBE) for a geometry-optimized CuH4Pb2Cl2O4 structure.

Cell and atoms, written as POSCAR:
```
CuH4Pb2Cl2O4
1.0
5.937 0.000 0.000
0.000 5.937 0.000
0.000 0.000 5.622
O H Pb Cl Cu
4 4 2 2 1
Cartesian
1.390 1.390 5.457 O
4.546 1.390 5.457 O
1.390 4.546 5.457 O
4.546 4.546 5.457 O
1.776 1.776 0.656 H
1.776 4.160 0.656 H
4.160 4.160 0.656 H
4.160 1.776 0.656 H
2.968 0.000 4.139 Pb
0.000 2.968 4.139 Pb
2.968 2.968 2.279 Cl
0.000 0.000 2.765 Cl
0.000 0.000 0.180 Cu
```

## Properties
V in Å³ per atom: 15.2
Total DFT energy (no corrections) in eV per atom: -4.754
Symmetry: No. 99

Density functional theory data (GGA-PBE) for a geometry-optimized Pr12RuAu6 structure.

Cell and atoms, written as POSCAR:
```
Pr12RuAu6
1.0
8.635 0.054 0.065
-1.255 8.543 0.065
-1.255 -1.463 8.417
Pr Au Ru
12 6 1
Cartesian
3.409 2.474 6.913 Pr
4.195 1.003 3.627 Pr
7.203 -0.709 5.801 Pr
7.917 2.680 0.611 Pr
1.449 -0.869 8.208 Pr
0.355 2.801 4.878 Pr
2.715 4.661 1.635 Pr
-1.079 7.844 2.746 Pr
4.675 8.004 0.339 Pr
-1.793 4.455 7.936 Pr
5.769 4.334 3.670 Pr
1.929 6.132 4.920 Pr
1.706 0.192 5.337 Au
4.898 2.477 1.143 Au
4.418 6.943 3.210 Au
6.193 2.190 5.906 Au
1.226 4.658 7.405 Au
-0.069 4.945 2.642 Au
0.000 0.000 0.000 Ru
```

## Properties
V in Å³ per atom: 32.8
ΔH_f (0 K) in eV per formula unit: -7.67
Symmetry: No. 148

Density functional theory data (GGA-PBE) for a geometry-optimized Ca2YAuC structure.

Cell and atoms, written as POSCAR:
```
Ca2YAuC
1.0
-1.620 2.339 4.086
-4.452 0.646 -2.135
-1.503 -4.263 1.844
Au Ca Y C
1 2 1 1
Cartesian
-3.788 -0.639 1.898 Au
-0.810 1.170 2.043 Ca
-2.226 0.323 -1.068 Ca
-0.752 -2.131 0.922 Y
0.000 0.000 0.000 C
```

## Properties
V in Å³ per atom: 24.2
ΔH_f (0 K) in eV per formula unit: -1.09
Symmetry: No. 123